Entry 1:
Mn2Sb2Br at its PBEsol-relaxed geometry, computed with SCAN.

Calculated values
**Formation energy without anion corrections**: 0.471 eV per atom
**Total magnetic moment**: 3.00 μB/cell
**E**: -25.63 eV/atom

Structure (POSCAR):
```
Mn2Sb2Br
1.0
-1.650 2.231 4.326
-1.186 -4.928 -0.851
5.027 -0.917 -0.550
Sb Mn Br
2 2 1
direct
0.500 0.750 0.250 Sb
0.500 0.250 0.750 Sb
0.000 0.638 0.638 Mn
0.000 0.362 0.362 Mn
0.000 0.000 0.000 Br
```


Entry 2:
Co3Sb at its PBEsol-relaxed geometry, computed with SCAN.

Calculated values
**Formation energy without anion corrections**: 0.233 eV per atom
**Total magnetic moment**: 9.20 μB/cell
**E**: -22.06 eV/atom

Structure (POSCAR):
```
Co3Sb
1.0
-0.052 4.656 -0.286
-2.515 -0.268 -3.919
-3.928 0.111 2.513
Co Sb
6 2
direct
0.750 0.500 0.000 Co
0.250 0.500 0.000 Co
0.000 0.750 0.500 Co
0.000 0.250 0.500 Co
0.500 0.000 0.250 Co
0.500 0.000 0.750 Co
0.000 0.000 0.000 Sb
0.500 0.500 0.500 Sb
```


Entry 3:
GaReSeBr2 at its PBEsol-relaxed geometry, computed with SCAN.

Calculated values
**Formation energy without anion corrections**: 0.310 eV per atom
**Total magnetic moment**: 1.37 μB/cell
**E**: -28.98 eV/atom

Structure (POSCAR):
```
GaReSeBr2
1.0
-1.975 -0.780 -4.159
-4.338 -1.668 2.373
-1.882 4.867 -0.019
Re Ga Se Br
1 1 1 2
direct
0.000 0.000 0.000 Re
0.500 0.500 0.500 Ga
0.500 0.000 0.000 Se
0.000 0.000 0.500 Br
0.000 0.500 0.000 Br
```


Entry 4:
SrCdPt at its PBEsol-relaxed geometry, computed with SCAN.

Calculated values
**Total magnetic moment**: 0.00 μB/cell
**E**: -41.75 eV/atom

Structure (POSCAR):
```
SrCdPt
1.0
-3.433 -0.581 2.804
-3.952 -3.062 -5.474
3.018 -7.663 2.108
Sr Pt Cd
4 4 4
direct
0.750 0.472 0.819 Sr
0.250 0.028 0.319 Sr
0.250 0.528 0.181 Sr
0.750 0.972 0.681 Sr
0.750 0.229 0.122 Pt
0.750 0.729 0.378 Pt
0.250 0.771 0.878 Pt
0.250 0.271 0.622 Pt
0.250 0.646 0.565 Cd
0.750 0.354 0.435 Cd
0.750 0.854 0.065 Cd
0.250 0.146 0.935 Cd
```


Entry 5:
ZnCuPt2C at its PBEsol-relaxed geometry, computed with SCAN.

Calculated values
**Total magnetic moment**: 0.00 μB/cell
**E**: -34.27 eV/atom

Structure (POSCAR):
```
ZnCuPt2C
1.0
3.480 0.000 0.000
0.000 4.693 0.000
0.000 0.000 4.693
C Zn Cu Pt
1 1 1 2
direct
0.500 0.000 0.000 C
0.000 0.000 0.000 Zn
0.500 0.500 0.500 Cu
0.000 0.000 0.500 Pt
0.000 0.500 0.000 Pt
```


Entry 6:
K2Sb2Au at its PBEsol-relaxed geometry, computed with SCAN.

Calculated values
**Formation energy without anion corrections**: -0.457 eV per atom
**Total magnetic moment**: 0.00 μB/cell
**E**: -32.52 eV/atom

Structure (POSCAR):
```
K2Sb2Au
1.0
-5.693 0.121 0.273
-0.178 -7.218 -0.508
0.335 -0.515 7.211
Sb K Au
4 4 2
direct
0.000 0.355 0.855 Sb
0.000 0.855 0.645 Sb
0.000 0.645 0.145 Sb
0.000 0.145 0.355 Sb
0.500 0.166 0.666 K
0.500 0.666 0.834 K
0.500 0.834 0.334 K
0.500 0.334 0.166 K
0.000 0.000 0.000 Au
0.000 0.500 0.500 Au
```